Run i
The following is a DFT calculation (PBE-GGA) of crystalline Sr2Ti2In at its relaxed geometry.

Unit cell a=7.4572 b=7.4572 c=5.4448 alpha=90.00 beta=90.00 gamma=90.00
Last column: nearest neighbours and their distance in Å.
Fractional positions:
Sr: 0.1814 0.6814 0.5000  6 Ti 3.40-3.58
Sr: 0.6814 0.8186 0.5000  6 Ti 3.40-3.58
Sr: 0.8186 0.3186 0.5000  6 Ti 3.40-3.58
Sr: 0.3186 0.1814 0.5000  6 Ti 3.40-3.58
Ti: 0.3744 0.8744 0.0000  1 Ti 2.65, 2 In 2.94
Ti: 0.8744 0.6256 0.0000  1 Ti 2.65, 2 In 2.94
Ti: 0.6256 0.1257 0.0000  1 Ti 2.65, 2 In 2.94
Ti: 0.1257 0.3744 0.0000  1 Ti 2.65, 2 In 2.94
In: 0.0000 0.0000 0.0000  4 Ti 2.94
In: 0.5000 0.5000 0.0000  4 Ti 2.94

Computed properties:
- DOS(E_F): 8.02 states/eV/f.u.
- Space group: P4/mbm (127)



Run ii
The following is a DFT calculation (PBE-GGA) of crystalline Sr2Ti2In at its relaxed geometry.

Unit cell a=4.5429 b=4.5429 c=7.8108 alpha=73.09 beta=73.09 gamma=90.00
Last column: nearest neighbours and their distance in Å.
Fractional positions:
Sr: 0.7500 0.2500 0.5000  4 Sr 3.21, 4 Ti 3.43
Sr: 0.2500 0.7500 0.5000  4 Sr 3.21, 4 Ti 3.43
Ti: 0.4301 0.4301 0.1399  1 Ti 1.99
Ti: 0.5699 0.5699 0.8601  1 Ti 1.99
In: 0.0000 0.0000 0.0000  8 Ti 3.36

Computed properties:
- DOS(E_F): 7.39 states/eV/f.u.
- Space group: I4/mmm (139)



What are the relative energies? In meV/atom: run i 0; run ii 371.



Run i
The following is a DFT calculation (PBE-GGA) of crystalline SrTi3In at its relaxed geometry.

Unit cell a=4.8211 b=4.8211 c=4.8211 alpha=90.00 beta=90.00 gamma=90.00
Last column: nearest neighbours and their distance in Å.
Fractional positions:
Sr: 0.0000 0.0000 0.0000  6 Ti 2.41
Ti: 0.0000 0.5000 0.0000  2 Sr 2.41
Ti: 0.0000 0.0000 0.5000  2 Sr 2.41
Ti: 0.5000 0.0000 0.0000  2 Sr 2.41
In: 0.5000 0.5000 0.5000  12 Ti 3.41

Computed properties:
- DOS(E_F): 5.97 states/eV/f.u.
- Space group: Pm-3m (221)



Run ii
The following is a DFT calculation (PBE-GGA) of crystalline SrTi3In at its relaxed geometry.

Unit cell a=5.2801 b=5.2801 c=5.2801 alpha=90.00 beta=90.00 gamma=90.00
Last column: nearest neighbours and their distance in Å.
Fractional positions:
Sr: 0.5000 0.5000 0.5000  12 Ti 3.73
Ti: 0.0000 0.5000 0.0000  2 In 2.64
Ti: 0.0000 0.0000 0.5000  2 In 2.64
Ti: 0.5000 0.0000 0.0000  2 In 2.64
In: 0.0000 0.0000 0.0000  6 Ti 2.64

Computed properties:
- DOS(E_F): 7.57 states/eV/f.u.
- Space group: Pm-3m (221)



What are the relative energies? In meV/atom: run i 750; run ii 0.